a | PBE+U CsNiI2O, relaxed; SG = P4/mmm, No. 123; size of the total moment = 2.56 μB per cell; N(E_F) = 0.54 states/eV/atom
1.0
6.705 0.000 0.000
0.000 6.705 0.000
0.000 0.000 3.570
Cs Ni I O
1 1 2 1
Cartesian
0.000 0.000 0.000
3.352 3.352 1.785
0.000 3.352 1.785
3.352 0.000 1.785
3.352 3.352 0.000

=====

b | PBE+U CsNiI2O, relaxed; SG = P4/mmm, No. 123; size of the total moment = 1.76 μB per cell; N(E_F) = 1.25 states/eV/atom
1.0
7.033 0.000 0.000
0.000 7.033 0.000
0.000 0.000 4.369
Cs Ni I O
1 1 2 1
Cartesian
0.000 0.000 0.000
3.517 3.517 2.185
0.000 3.517 0.000
3.517 0.000 0.000
0.000 0.000 2.185

=====

Consider the structures shown above. The most stable of them is a.